Record 1
Below is a relaxed structure of CaHgPt2, with properties calculated at the GGA-PBE level.

CIF file:
```
data_CaHgPt2
_chemical_formula_sum 'Ca2 Hg2 Pt4'
_cell_length_a 4.6591
_cell_length_b 3.1017
_cell_length_c 10.8571
_cell_angle_alpha 90.00
_cell_angle_beta 90.00
_cell_angle_gamma 90.00
_symmetry_space_group_name_H-M 'A m m 2'
_symmetry_Int_Tables_number 38
_symmetry_space_group_name_Hall 'A 2 -2'
loop_
_atom_site_label
_atom_site_fract_x
_atom_site_fract_y
_atom_site_fract_z
Ca1 0.0000 0.0000 0.0000
Hg1 0.5000 0.0000 0.6763
Pt1 0.0000 0.0000 0.2628
Pt2 0.5000 0.0000 0.4133
```

Calculated values
total DFT energy (no corrections)	-4.0197	eV/atom
total moment	0.0	μB per cell

Record 2
Below is a relaxed structure of HoHf2Pa, with properties calculated at the GGA-PBE level.

CIF file:
```
data_HoHf2Pa
_chemical_formula_sum 'Ho3 Hf6 Pa3'
_cell_length_a 5.1030
_cell_length_b 5.1030
_cell_length_c 13.4235
_cell_angle_alpha 90.00
_cell_angle_beta 90.00
_cell_angle_gamma 120.00
_symmetry_space_group_name_H-M 'R -3 m'
_symmetry_Int_Tables_number 166
_symmetry_space_group_name_Hall '-R 3 2"'
loop_
_atom_site_label
_atom_site_fract_x
_atom_site_fract_y
_atom_site_fract_z
Ho1 0.0000 0.0000 0.0000
Hf1 0.0000 0.0000 0.2289
Pa1 0.0000 0.0000 0.5000
```

Calculated values
total DFT energy (no corrections)	-8.2347	eV/atom
total moment	0.0	μB per cell

Record 3
Below is a relaxed structure of NdPaAs2O8, with properties calculated at the GGA-PBE level.

CIF file:
```
data_NdPaAs2O8
_chemical_formula_sum 'Nd2 Pa2 As4 O16'
_cell_length_a 7.2543
_cell_length_b 7.2543
_cell_length_c 6.7671
_cell_angle_alpha 90.00
_cell_angle_beta 90.00
_cell_angle_gamma 90.00
_symmetry_space_group_name_H-M 'I -4 m 2'
_symmetry_Int_Tables_number 119
_symmetry_space_group_name_Hall 'I -4 -2'
loop_
_atom_site_label
_atom_site_fract_x
_atom_site_fract_y
_atom_site_fract_z
Nd1 0.0000 0.0000 0.0000
Pa1 0.0000 0.5000 0.7500
As1 0.0000 0.0000 0.5000
As2 0.0000 0.5000 0.2500
O1 0.0000 0.2036 0.7011
O2 0.0000 0.3241 0.0797
```

Calculated values
E_form (uncorrected)	-28.03	eV per formula unit
total DFT energy (no corrections)	-7.6052	eV/atom
total moment	0.0	μB per cell

Record 4
Below is a relaxed structure of LaAg2HAu, with properties calculated at the GGA-PBE level.

CIF file:
```
data_LaAg2HAu
_chemical_formula_sum 'La1 Ag2 H1 Au1'
_cell_length_a 4.4223
_cell_length_b 4.4223
_cell_length_c 4.8820
_cell_angle_alpha 90.00
_cell_angle_beta 90.00
_cell_angle_gamma 90.00
_symmetry_space_group_name_H-M 'P 4/m m m'
_symmetry_Int_Tables_number 123
_symmetry_space_group_name_Hall '-P 4 2'
loop_
_atom_site_label
_atom_site_fract_x
_atom_site_fract_y
_atom_site_fract_z
La1 0.0000 0.0000 0.0000
Ag1 0.0000 0.5000 0.5000
H1 0.0000 0.0000 0.5000
Au1 0.5000 0.5000 0.0000
```

Calculated values
total DFT energy (no corrections)	-3.6284	eV/atom
total moment	0.0	μB per cell

Record 5
Below is a relaxed structure of Pm6Pr3Sm2Ho, with properties calculated at the GGA-PBE level.

CIF file:
```
data_Pm6Pr3Sm2Ho
_chemical_formula_sum 'Pm12 Pr6 Sm4 Ho2'
_cell_length_a 6.3304
_cell_length_b 10.9644
_cell_length_c 12.1168
_cell_angle_alpha 90.00
_cell_angle_beta 100.07
_cell_angle_gamma 90.00
_symmetry_space_group_name_H-M 'C 1 2/m 1'
_symmetry_Int_Tables_number 12
_symmetry_space_group_name_Hall '-C 2y'
loop_
_atom_site_label
_atom_site_fract_x
_atom_site_fract_y
_atom_site_fract_z
Pm1 0.2485 0.1663 0.2466
Pm2 0.2504 0.0000 0.7532
Pr1 0.0000 0.1666 0.5000
Pr2 0.0000 0.5000 0.5000
Sm1 0.0000 0.3333 0.0000
Ho1 0.0000 0.0000 0.0000
```

Calculated values
total DFT energy (no corrections)	-4.7232	eV/atom
total moment	0.0	μB per cell

Record 6
Below is a relaxed structure of EuTiO2, with properties calculated at the GGA-PBE level.

CIF file:
```
data_EuTiO2
_chemical_formula_sum 'Eu3 Ti3 O6'
_cell_length_a 3.2200
_cell_length_b 3.2200
_cell_length_c 16.7288
_cell_angle_alpha 90.00
_cell_angle_beta 90.00
_cell_angle_gamma 120.00
_symmetry_space_group_name_H-M 'R -3 m'
_symmetry_Int_Tables_number 166
_symmetry_space_group_name_Hall '-R 3 2"'
loop_
_atom_site_label
_atom_site_fract_x
_atom_site_fract_y
_atom_site_fract_z
Eu1 0.0000 0.0000 0.0000
Ti1 0.0000 0.0000 0.5000
O1 0.0000 0.0000 0.2314
```

Calculated values
E_form (uncorrected)	-9.86	eV per formula unit
total DFT energy (no corrections)	-9.4875	eV/atom
total moment	19.4	μB per cell

Record 7
Below is a relaxed structure of YBiRu2O7, with properties calculated at the GGA-PBE level.

CIF file:
```
data_YBiRu2O7
_chemical_formula_sum 'Y4 Bi4 Ru8 O28'
_cell_length_a 7.2634
_cell_length_b 7.3352
_cell_length_c 10.3475
_cell_angle_alpha 90.00
_cell_angle_beta 90.00
_cell_angle_gamma 90.00
_symmetry_space_group_name_H-M 'I m m a'
_symmetry_Int_Tables_number 74
_symmetry_space_group_name_Hall '-I 2b 2'
loop_
_atom_site_label
_atom_site_fract_x
_atom_site_fract_y
_atom_site_fract_z
Y1 0.0000 0.0000 0.0000
Bi1 0.2500 0.2500 0.2500
Ru1 0.0000 0.0000 0.5000
Ru2 0.2500 0.2500 0.7500
O1 0.0000 0.2500 0.1165
O2 0.0000 0.2500 0.4198
O3 0.0000 0.2500 0.8360
O4 0.2057 0.0435 0.6252
```

Calculated values
E_form (uncorrected)	-17.80	eV per formula unit
total DFT energy (no corrections)	-7.4005	eV/atom
total moment	1.0	μB per cell

Record 8
Below is a relaxed structure of CeNpSe2N, with properties calculated at the GGA-PBE level.

CIF file:
```
data_CeNpSe2N
_chemical_formula_sum 'Ce2 Np2 Se4 N2'
_cell_length_a 4.0328
_cell_length_b 4.0328
_cell_length_c 14.2798
_cell_angle_alpha 90.00
_cell_angle_beta 90.00
_cell_angle_gamma 90.00
_symmetry_space_group_name_H-M 'P 4/n m m'
_symmetry_Int_Tables_number 129
loop_
_symmetry_equiv_pos_as_xyz
'x,y,z'
'-x,-y,-z'
'-y+1/2,x,z'
'y+1/2,-x,-z'
'-x+1/2,-y+1/2,z'
'x+1/2,y+1/2,-z'
'y,-x+1/2,z'
'-y,x+1/2,-z'
'x+1/2,-y,-z'
'-x+1/2,y,z'
'-y,-x,-z'
'y,x,z'
'-x,y+1/2,-z'
'x,-y+1/2,z'
'y+1/2,x+1/2,-z'
'-y+1/2,-x+1/2,z'
loop_
_atom_site_label
_atom_site_fract_x
_atom_site_fract_y
_atom_site_fract_z
Ce1 0.2500 0.2500 0.0780
Np1 0.2500 0.2500 0.6154
Se1 0.2500 0.2500 0.4068
Se2 0.2500 0.2500 0.8046
N1 0.2500 0.7500 0.0000
```

Calculated values
E_form (uncorrected)	-6.81	eV per formula unit
total DFT energy (no corrections)	-8.1966	eV/atom
total moment	7.8	μB per cell

Q: Look up the total moment of the sixth one.
A: 19.4 μB per cell

Q: The lowest total DFT energy (no corrections) belongs to which entry?
A: EuTiO2